Zn2GeIrSe (SCAN, PBEsol geometry); spin magnetization = 0.001 μB/atom; E_form (uncorrected) = 1.15 eV/atom
1.0
-1.966 -3.469 -1.870
1.216 -2.522 3.400
-4.349 1.162 2.417
Ge Ir Zn Se
1 1 2 1
direct
0.000 0.000 0.000
0.500 0.500 0.500
0.000 0.500 0.000
0.500 0.000 0.000
0.000 0.000 0.500

BeSiBr (SCAN, PBEsol geometry); spin magnetization = 0.013 μB/atom; E_form (uncorrected) = 1.68 eV/atom
1.0
-0.054 -0.018 -4.415
0.338 -3.815 -2.197
-3.494 -1.621 -2.159
Be Si Br
1 1 1
direct
0.500 0.500 0.500
0.000 0.000 0.000
0.250 0.250 0.250

KLiReSe2 (SCAN, PBEsol geometry); spin magnetization = 1.402 μB/atom; E_form (uncorrected) = 1.62 eV/atom
1.0
-3.935 -2.807 -2.839
-2.032 -2.114 4.907
-3.528 4.474 0.467
Re K Se Li
1 1 2 1
direct
0.500 0.000 0.000
0.000 0.000 0.000
0.000 0.000 0.500
0.000 0.500 0.000
0.500 0.500 0.500

ZrTe2Se (SCAN, PBEsol geometry); spin magnetization = 0.000 μB/atom; E_form (uncorrected) = -0.19 eV/atom
1.0
3.192 0.002 0.000
-0.665 3.122 0.000
0.000 0.000 9.995
Se Te Zr
1 2 1
direct
0.500 0.500 0.000
0.000 0.000 0.289
0.000 0.000 0.711
0.500 0.500 0.500